VASP calculation (PBE) on a relaxed structure of TbPr2Zn.

Calculated values
Crystal system = trigonal
Energy above the lowest structure with this stoichiometry = 132 meV per atom
ΔE_f = -0.021 eV/atom
Volume = 31.03 Å³/atom
Fermi-level density of states = 4.2 states/eV per cell
Magnetic moment = 0.00 μB per cell
SG = R-3m, No. 166

Geometry as POSCAR:
```
TbPr2Zn
1.0
1.834 1.059 10.656
-1.834 1.059 10.656
0.000 -2.117 10.656
Tb Pr Zn
1 2 1
direct
0.000 0.000 0.000
0.240 0.240 0.240
0.760 0.760 0.760
0.500 0.500 0.500
```



VASP calculation (PBE) on a relaxed structure of TbPrZn.

Calculated values
Crystal system = orthorhombic
Energy above the lowest structure with this stoichiometry = 230 meV per atom
ΔE_f = 0.031 eV/atom
Volume = 30.44 Å³/atom
Fermi-level density of states = 18.5 states/eV per cell
Magnetic moment = 0.00 μB per cell
SG = Pnma, No. 62

Geometry as POSCAR:
```
TbPrZn
1.0
10.146 0.000 0.000
0.000 5.050 0.000
0.000 0.000 7.128
Tb Pr Zn
4 4 4
direct
0.120 0.250 0.006
0.380 0.750 0.506
0.620 0.250 0.494
0.880 0.750 0.994
0.132 0.250 0.506
0.368 0.750 0.006
0.632 0.250 0.994
0.868 0.750 0.494
0.125 0.750 0.756
0.375 0.250 0.256
0.625 0.750 0.744
0.875 0.250 0.244
```



VASP calculation (PBE) on a relaxed structure of Tb3Pr2Zn3.

Calculated values
Crystal system = orthorhombic
ΔE_f = -0.223 eV/atom
Volume = 26.29 Å³/atom
Fermi-level density of states = 8.4 states/eV per cell
Magnetic moment = 0.00 μB per cell
SG = Immm, No. 71

Geometry as POSCAR:
```
Tb3Pr2Zn3
1.0
-1.843 2.595 10.997
1.843 -2.595 10.997
1.843 2.595 -10.997
Tb Pr Zn
3 2 3
direct
0.000 0.000 0.000
0.386 0.886 0.500
0.614 0.114 0.500
0.227 0.227 0.000
0.773 0.773 0.000
0.110 0.610 0.500
0.500 0.500 0.000
0.890 0.390 0.500
```